SrLi2AcAu2: relaxed, PBE.

a b c (Å): 4.6272 4.6272 8.5087
angles (deg): 90.00 90.00 120.00
Last column: nearest neighbours and their distance in Å.
Element x y z (fractional)
Sr (0.0000, 0.0000, 0.0000)  6 Li 3.37, 6 Au 3.47
Li (0.3333, 0.6667, 0.7592)  3 Au 2.68
Li (0.6667, 0.3333, 0.2408)  3 Au 2.68
Ac (0.0000, 0.0000, 0.5000)  6 Au 3.36, 6 Li 3.46
Au (0.3333, 0.6667, 0.2597)  3 Li 2.68
Au (0.6667, 0.3333, 0.7403)  3 Li 2.68

The value obtained for the total energy is -19.43 eV per cell. The density of states at the Fermi level comes out at 4.62 states/eV/cell. The volume is 26.3 Å³/atom. The spin magnetization is 0.0000 μB per atom. As for the space group: P-3m1, No. 164.